No. 1
Y3HfBi | meta-GGA SCAN | PBEsol geometry

a = 5.4183 Å, b = 5.4183 Å, c = 5.4183 Å
α = 90.00°, β = 90.00°, γ = 90.00°
Atoms (fractional coordinates):
Bi: 0.5000 0.5000 0.5000
Y: 0.0000 0.0000 0.5000
Y: 0.5000 0.0000 0.0000
Y: 0.0000 0.5000 0.0000
Hf: 0.0000 0.0000 0.0000

## Properties
* energy of formation: 0.436 eV per atom

=====

No. 2
Na3Li3V2F12 | meta-GGA SCAN | PBEsol geometry

a = 10.6814 Å, b = 10.6814 Å, c = 10.6814 Å
α = 109.47°, β = 109.47°, γ = 109.47°
Last column: magnetic moment on the atom in μB.
Atoms (fractional coordinates):
F: 0.1958 0.1758 0.0797  0.01
F: 0.8242 0.4039 0.0200  0.01
F: 0.5200 0.8242 0.9039  0.01
F: 0.3242 0.0200 0.4039  0.01
F: 0.4039 0.5200 0.3242  0.01
F: 0.6758 0.9800 0.5961  0.01
F: 0.6162 0.0961 0.9203  0.01
F: 0.8042 0.9800 0.3838  0.01
F: 0.5200 0.6958 0.1162  0.01
F: 0.8042 0.8242 0.9203  0.01
F: 0.9800 0.8838 0.3042  0.01
F: 0.9039 0.3242 0.5200  0.01
F: 0.3042 0.3838 0.9800  0.01
F: 0.9203 0.5961 0.6162  0.01
F: 0.0797 0.6758 0.1958  0.01
F: 0.5961 0.4800 0.6758  0.01
F: 0.0961 0.6758 0.4800  0.01
F: 0.6958 0.0797 0.1758  0.01
F: 0.5797 0.3838 0.4039  0.01
F: 0.8242 0.4203 0.3042  0.01
F: 0.0200 0.9039 0.8242  0.01
F: 0.4039 0.8838 0.5797  0.01
F: 0.1958 0.0200 0.6162  0.01
F: 0.9800 0.0961 0.1758  0.01
F: 0.8838 0.8042 0.4800  0.01
F: 0.0200 0.1162 0.6958  0.01
F: 0.3242 0.3042 0.4203  0.01
F: 0.0961 0.4203 0.1162  0.01
F: 0.5797 0.1958 0.6758  0.01
F: 0.3042 0.9203 0.8242  0.01
F: 0.5961 0.1162 0.4203  0.01
F: 0.1162 0.9203 0.0961  0.01
F: 0.6758 0.6958 0.5797  0.01
F: 0.3838 0.9039 0.0797  0.01
F: 0.9039 0.5797 0.8838  0.01
F: 0.1162 0.1958 0.5200  0.01
F: 0.4800 0.3042 0.8838  0.01
F: 0.4800 0.1758 0.0961  0.01
F: 0.1758 0.5797 0.6958  0.01
F: 0.4203 0.8042 0.3242  0.01
F: 0.9203 0.3242 0.8042  0.01
F: 0.8838 0.0797 0.9039  0.01
F: 0.1758 0.5961 0.9800  0.01
F: 0.6958 0.6162 0.0200  0.01
F: 0.6162 0.5200 0.1958  0.01
F: 0.0797 0.4039 0.3838  0.01
F: 0.3838 0.4800 0.8042  0.01
F: 0.4203 0.6162 0.5961  0.01
Na: 0.2500 0.6250 0.3750  0.00
Na: 0.6250 0.8750 0.7500  0.00
Na: 0.1250 0.3750 0.7500  0.00
Na: 0.1250 0.7500 0.8750  0.00
Na: 0.3750 0.2500 0.6250  0.00
Na: 0.8750 0.2500 0.1250  0.00
Na: 0.7500 0.3750 0.6250  0.00
Na: 0.2500 0.1250 0.8750  0.00
Na: 0.6250 0.7500 0.3750  0.00
Na: 0.7500 0.8750 0.1250  0.00
Na: 0.3750 0.1250 0.2500  0.00
Na: 0.8750 0.6250 0.2500  0.00
Li: 0.3750 0.7500 0.1250  0.00
Li: 0.2500 0.3750 0.1250  0.00
Li: 0.7500 0.6250 0.8750  0.00
Li: 0.1250 0.8750 0.2500  0.00
Li: 0.2500 0.8750 0.6250  0.00
Li: 0.1250 0.2500 0.3750  0.00
Li: 0.3750 0.6250 0.7500  0.00
Li: 0.7500 0.1250 0.3750  0.00
Li: 0.6250 0.3750 0.2500  0.00
Li: 0.8750 0.1250 0.7500  0.00
Li: 0.8750 0.7500 0.6250  0.00
Li: 0.6250 0.2500 0.8750  0.00
V: 0.0000 0.5000 0.5000  1.86
V: 0.0000 0.0000 0.0000  1.86
V: 0.5000 0.5000 0.5000  1.86
V: 0.0000 0.0000 0.5000  1.86
V: 0.5000 0.5000 0.0000  1.86
V: 0.5000 0.0000 0.5000  1.86
V: 0.5000 0.0000 0.0000  1.86
V: 0.0000 0.5000 0.0000  1.86

## Properties
* formation energy from raw total energies: -3.170 eV per atom

=====

No. 3
AlSb2WN | meta-GGA SCAN | PBEsol geometry

a = 4.7770 Å, b = 5.1585 Å, c = 5.1585 Å
α = 90.00°, β = 90.00°, γ = 90.00°
Last column: magnetic moment on the atom in μB.
Atoms (fractional coordinates):
W: 0.5000 0.0000 0.0000  2.39
Sb: 0.0000 0.5000 0.0000  -0.05
Sb: 0.0000 0.0000 0.5000  -0.05
N: 0.5000 0.5000 0.5000  1.78
Al: 0.0000 0.0000 0.0000  0.01

## Properties
* formation energy from raw total energies: 2.283 eV per atom

=====

No. 4
CuPbW2 | meta-GGA SCAN | PBEsol geometry

a = 3.1508 Å, b = 3.1508 Å, c = 6.9175 Å
α = 90.00°, β = 90.00°, γ = 90.00°
Atoms (fractional coordinates):
W: 0.0000 0.0000 0.1821
W: 0.0000 0.0000 0.8179
Pb: 0.5000 0.5000 0.5000
Cu: 0.5000 0.5000 0.0000

## Properties
* energy of formation: 0.985 eV per atom

=====

Electronic total energy, record by record: -44.521; -8.034; -29.968; -56.604 eV per atom